[1]
Entry from Alexandria via LeMat-Bulk: crystalline SrZr2Zn at its relaxed geometry (GGA-PBE).

Unit cell a=5.362 b=3.336 c=5.708 alpha=82.07 beta=90.00 gamma=90.00
Element x y z (fractional)
Sr: 0.500 0.250 0.250
Zn: 0.500 0.750 0.750
Zr: 0.000 0.927 0.965
Zr: 0.000 0.573 0.535

crystal system: monoclinic
spin magnetization: 0.0000 μB per atom
electronic total energy: -4.71 eV/atom
symmetry: P2/m, No. 10

[2]
Entry from Alexandria via LeMat-Bulk: crystalline Ba2ErAu at its relaxed geometry (GGA-PBE).

Unit cell a=4.013 b=4.013 c=12.142 alpha=80.49 beta=80.49 gamma=60.00
Element x y z (fractional)
Au: 0.500 0.500 0.500
Ba: 0.103 0.103 0.691
Ba: 0.897 0.897 0.309
Er: 0.000 0.000 0.000

crystal system: trigonal
spin magnetization: 0.0335 μB per atom
electronic total energy: -2.83 eV/atom
symmetry: R-3m, No. 166

[3]
Entry from Alexandria via LeMat-Bulk: crystalline GdThCuIr at its relaxed geometry (GGA-PBE).

Unit cell a=5.002 b=5.002 c=5.002 alpha=60.00 beta=60.00 gamma=60.00
Element x y z (fractional)
Gd: 0.000 0.000 0.000
Ir: 0.750 0.750 0.750
Cu: 0.250 0.250 0.250
Th: 0.500 0.500 0.500

crystal system: cubic
spin magnetization: 1.7712 μB per atom
electronic total energy: -9.11 eV/atom
symmetry: F-43m, No. 216

[4]
Entry from Alexandria via LeMat-Bulk: crystalline Zn2Fe4Re at its relaxed geometry (GGA-PBE).

Unit cell a=4.432 b=4.432 c=7.067 alpha=71.73 beta=71.73 gamma=90.00
Element x y z (fractional)
Re: 0.000 0.000 0.000
Zn: 0.613 0.613 0.774
Zn: 0.387 0.387 0.226
Fe: 0.809 0.809 0.382
Fe: 0.191 0.191 0.618
Fe: 0.000 0.500 0.000
Fe: 0.500 0.000 0.000

crystal system: tetragonal
spin magnetization: 1.2703 μB per atom
electronic total energy: -5.76 eV/atom
symmetry: I4/mmm, No. 139

In order of appearance, D(E_F) = 4.8 6.0 2.9 11.7 states/eV/f.u..